1.
Computed, not measured: a geometry-optimized K2TmPuTe4 structure at the GGA-PBE level of DFT.

Lattice parameters (Å, degrees): 7.843 4.514 8.607 90.00 107.64 90.00
Space group P2/m (No. 10)
Inequivalent atoms, fractional coordinates:
K  0.000  0.000  0.000 (multiplicity 1)
K  0.500  0.500  0.000 (multiplicity 1)
Tm  0.000  0.500  0.500 (multiplicity 1)
Pu  0.500  0.000  0.500 (multiplicity 1)
Te  0.229  0.000  0.707 (multiplicity 2)
Te  0.258  0.500  0.292 (multiplicity 2)

Its energy relative to the elements, uncorrected is -1232 meV per atom.


2.
Computed, not measured: a geometry-optimized K3Tm3PuTe8 structure at the GGA-PBE level of DFT.

Lattice parameters (Å, degrees): 8.8275 8.8275 25.1029 90.00 90.00 120.00
Space group R-3m (No. 166, hexagonal axes)
Inequivalent atoms, fractional coordinates:
K  0.0000  0.5000  0.0000 (multiplicity 9)
Tm  0.0000  0.5000  0.5000 (multiplicity 9)
Pu  0.0000  0.0000  0.5000 (multiplicity 3)
Te  0.0000  0.0000  0.2353 (multiplicity 6)
Te  0.0038  0.5019  0.7651 (multiplicity 18)

Its energy relative to the elements, uncorrected is -1247 meV per atom.


3.
Computed, not measured: a geometry-optimized K3Pu3UTe8 structure at the GGA-PBE level of DFT.

Lattice parameters (Å, degrees): 9.0313 9.0313 24.9352 90.00 90.00 120.00
Space group R-3m (No. 166, hexagonal axes)
Inequivalent atoms, fractional coordinates:
K  0.0000  0.5000  0.0000 (multiplicity 9)
Pu  0.0000  0.5000  0.5000 (multiplicity 9)
U  0.0000  0.0000  0.5000 (multiplicity 3)
Te  0.0000  0.0000  0.2362 (multiplicity 6)
Te  0.0066  0.5033  0.2348 (multiplicity 18)

Its energy relative to the elements, uncorrected is -1022 meV per atom.


4.
Computed, not measured: a geometry-optimized K4Pu3UTe8 structure at the GGA-PBE level of DFT.

Lattice parameters (Å, degrees): 11.054 11.088 8.459 90.00 90.00 90.00
Space group Cmmm (No. 65)
Inequivalent atoms, fractional coordinates:
K  0.000  0.000  0.000 (multiplicity 2)
K  0.000  0.500  0.000 (multiplicity 2)
K  0.250  0.250  0.000 (multiplicity 4)
Pu  0.000  0.000  0.500 (multiplicity 2)
Pu  0.250  0.250  0.500 (multiplicity 4)
U  0.000  0.500  0.500 (multiplicity 2)
Te  0.000  0.252  0.289 (multiplicity 8)
Te  0.247  0.500  0.289 (multiplicity 8)

Its energy relative to the elements, uncorrected is -922 meV per atom.